[1]
{
  "formula": "Li2NdGaI6",
  "functional": "PBE-GGA",
  "state": "relaxed",
  "e_form_raw_ev_per_fu": -10.851,
  "final_energy_ev_per_cell": -31.8,
  "volume_a3_per_cell": 376.6,
  "lattice_angstrom": [[-6.828, 3.015, -2.270], [-2.154, -0.417, -7.487], [-6.184, -5.401, -1.986]],
  "species": ["I", "I", "I", "I", "I", "I", "Ga", "Nd", "Li", "Li"],
  "fractional_positions": [[0.130, 0.377, 0.749], [0.903, 0.605, 0.244], [0.377, 0.744, 0.749], [0.606, 0.248, 0.244], [0.248, 0.903, 0.244], [0.744, 0.130, 0.749], [0.817, 0.817, 0.548], [0.323, 0.323, 0.032], [0.508, 0.508, 0.477], [0.006, 0.006, 0.981]]
}


[2]
{
  "formula": "LiGaI2O",
  "functional": "PBE-GGA",
  "state": "relaxed",
  "e_form_raw_ev_per_fu": -1.274,
  "final_energy_ev_per_cell": -14.3,
  "volume_a3_per_cell": 129.4,
  "lattice_angstrom": [[-2.283, 4.653, 2.827], [-4.752, -0.207, -3.497], [-1.671, -2.281, 2.405]],
  "species": ["O", "Li", "I", "I", "Ga"],
  "fractional_positions": [[0.000, 0.000, 0.500], [0.000, 0.000, 0.000], [0.000, 0.500, 0.000], [0.500, 0.000, 0.000], [0.500, 0.500, 0.500]]
}


[3]
{
  "formula": "LiGaIO2",
  "functional": "PBE-GGA",
  "state": "relaxed",
  "e_form_raw_ev_per_fu": 0.805,
  "final_energy_ev_per_cell": -15.6,
  "volume_a3_per_cell": 83.0,
  "lattice_angstrom": [[-2.470, -2.517, -1.809], [-1.738, -0.791, 3.473], [-3.422, 3.943, -0.814]],
  "species": ["I", "Ga", "Li", "O", "O"],
  "fractional_positions": [[0.000, 0.000, 0.500], [0.500, 0.500, 0.500], [0.000, 0.000, 0.000], [0.000, 0.500, 0.000], [0.500, 0.000, 0.000]]
}


[4]
{
  "formula": "LiGaI2O",
  "functional": "PBE-GGA",
  "state": "relaxed",
  "e_form_raw_ev_per_fu": -3.764,
  "final_energy_ev_per_cell": -16.8,
  "volume_a3_per_cell": 125.2,
  "lattice_angstrom": [[5.838, 0.000, 0.000], [0.000, 5.838, 0.000], [0.000, 0.000, 3.673]],
  "species": ["I", "I", "Ga", "O", "Li"],
  "fractional_positions": [[0.500, 0.000, 0.000], [0.000, 0.500, 0.000], [0.000, 0.000, 0.000], [0.000, 0.000, 0.500], [0.500, 0.500, 0.500]]
}


[5]
{
  "formula": "LiGaIO2",
  "functional": "PBE-GGA",
  "state": "relaxed",
  "e_form_raw_ev_per_fu": -4.137,
  "final_energy_ev_per_cell": -20.5,
  "volume_a3_per_cell": 94.1,
  "lattice_angstrom": [[3.792, 0.000, 0.000], [0.000, 3.792, 0.000], [0.000, 0.000, 6.543]],
  "species": ["Li", "O", "O", "Ga", "I"],
  "fractional_positions": [[0.500, 0.500, 0.500], [0.500, 0.000, 0.000], [0.000, 0.500, 0.000], [0.000, 0.000, 0.000], [0.000, 0.000, 0.500]]
}


[6]
{
  "formula": "Li4Ga3Si3IO12",
  "functional": "PBE-GGA",
  "state": "relaxed",
  "e_form_raw_ev_per_fu": -52.884,
  "final_energy_ev_per_cell": -293.9,
  "volume_a3_per_cell": 668.8,
  "lattice_angstrom": [[8.745, 0.000, 0.000], [0.000, 8.745, 0.000], [0.000, 0.000, 8.745]],
  "species": ["O", "O", "O", "O", "O", "O", "O", "O", "O", "O", "O", "O", "O", "O", "O", "O", "O", "O", "O", "O", "O", "O", "O", "O", "Li", "Li", "Li", "Li", "Li", "Li", "Li", "Li", "Si", "Si", "Si", "Si", "Si", "Si", "Ga", "Ga", "Ga", "Ga", "Ga", "Ga", "I", "I"],
  "fractional_positions": [[0.909, 0.630, 0.649], [0.870, 0.409, 0.851], [0.351, 0.091, 0.630], [0.409, 0.149, 0.130], [0.649, 0.091, 0.370], [0.409, 0.851, 0.870], [0.630, 0.649, 0.909], [0.091, 0.370, 0.649], [0.591, 0.851, 0.130], [0.370, 0.351, 0.909], [0.591, 0.149, 0.870], [0.851, 0.870, 0.409], [0.370, 0.649, 0.091], [0.091, 0.630, 0.351], [0.630, 0.351, 0.091], [0.851, 0.130, 0.591], [0.351, 0.909, 0.370], [0.130, 0.591, 0.851], [0.870, 0.591, 0.149], [0.909, 0.370, 0.351], [0.130, 0.409, 0.149], [0.649, 0.909, 0.630], [0.149, 0.130, 0.409], [0.149, 0.870, 0.591], [0.311, 0.689, 0.311], [0.189, 0.811, 0.811], [0.689, 0.311, 0.311], [0.811, 0.189, 0.811], [0.189, 0.189, 0.189], [0.811, 0.811, 0.189], [0.689, 0.689, 0.689], [0.311, 0.311, 0.689], [0.500, 0.250, 0.000], [0.750, 0.000, 0.500], [0.000, 0.500, 0.750], [0.000, 0.500, 0.250], [0.500, 0.750, 0.000], [0.250, 0.000, 0.500], [0.500, 0.000, 0.750], [0.000, 0.750, 0.500], [0.000, 0.250, 0.500], [0.750, 0.500, 0.000], [0.500, 0.000, 0.250], [0.250, 0.500, 0.000], [0.500, 0.500, 0.500], [0.000, 0.000, 0.000]]
}


Per-record size of the total moment, μB/f.u.: 0.00, 1.68, 0.00, 0.00, 0.00, 0.20